Here is an optimized crystal structure of Tl3Br from Alexandria. Energies are from PBE.

Symmetry = P-6m2 (187)
M_tot = 0.0 μB per cell
DFT total energy = -2.437 eV per atom
ΔE_f (raw) = -24 kJ per mole of atoms
Offset from the most stable computed form = 56 meV per atom

abc: 3.8821 3.8821 10.0283
angles: 90.00 90.00 120.00
Closest atoms and distances in Å follow each position.
Fractional positions:
Tl  0.0000  0.0000  0.5000  12 Tl 3.48-3.88
Tl  0.6667  0.3333  0.2350  3 Br 3.25, 3 Tl 3.48
Tl  0.6667  0.3333  0.7650  3 Br 3.25, 3 Tl 3.48
Br  0.0000  0.0000  0.0000  6 Tl 3.25